No. 1
# BaInCo2

A relaxed structure of BaInCo2 (PBE, the Alexandria database).

Cell lengths 4.9245, 7.7267, 3.3496 Å; angles 64.34, 89.98, 129.59 degrees
Last column: nearest neighbours and their distance in Å.
Element x y z (fractional)
Co: 0.0000 0.0000 0.0000  4 Ba 2.98, 4 In 2.98
Co: 0.0000 0.5000 0.5000  4 In 2.98, 4 Ba 2.98
Ba: 0.5000 0.0000 0.5000  8 Co 2.98
In: 0.5000 0.5000 0.0000  8 Co 2.98

Values from the calculation:
Space-group type   No. 123
Size of the total moment   1.8 μB per formula unit
ρ   7.56 g/cm3
DFT total energy   -4.040 eV per atom
Calculated formation energy   0.678 eV/atom
N(E_F)   2.14 states/eV/atom

***

No. 2
# MgBeSi2

A relaxed structure of MgBeSi2 (PBE, the Alexandria database).

Cell lengths 4.9328, 5.1565, 6.0107 Å; angles 112.42, 96.59, 113.98 degrees
Last column: nearest neighbours and their distance in Å.
Element x y z (fractional)
Be: 0.8922 0.9289 0.8677  1 Be 2.16, 4 Si 2.24-2.37
Be: 0.4906 0.6015 0.5284  1 Be 2.16, 3 Si 2.28-2.30
Si: 0.2044 0.0664 0.2414  2 Be 2.24-2.29, 1 Si 2.43
Si: 0.8930 0.0208 0.5246  2 Be 2.28-2.29, 2 Si 2.39-2.43
Si: 0.3557 0.9695 0.7707  2 Be 2.30-2.37, 1 Si 2.38
Si: 0.7534 0.4138 0.7538  2 Be 2.24-2.46, 2 Si 2.38-2.39
Mg: 0.3911 0.6082 0.0459  6 Si 2.78-2.99, 3 Be 2.90-3.00, 1 Mg 3.10
Mg: 0.8584 0.3983 0.2739  3 Be 2.77-2.86, 7 Si 2.84-3.06, 1 Mg 3.10

Values from the calculation:
Space-group type   No. 1
Size of the total moment   0.0 μB per formula unit
ΔE_f (raw)   18 kJ/mol of atoms
ΔE to the lowest computed polymorph   83 meV/atom
ρ   2.43 g/cm3
DFT total energy   -3.858 eV per atom
N(E_F)   0.16 states/eV/atom

***

No. 3
# Dy6Ho2Zr

A relaxed structure of Dy6Ho2Zr (PBE, the Alexandria database).

Cell lengths 3.5260, 3.5260, 25.7634 Å; angles 90.00, 90.00, 120.00 degrees
Last column: nearest neighbours and their distance in Å.
Element x y z (fractional)
Dy: 0.3333 0.6667 0.5667  7 Dy 3.44-3.53, 3 Ho 3.46
Dy: 0.6667 0.3333 0.8992  3 Zr 3.30, 9 Dy 3.53-3.56
Dy: 0.3333 0.6667 0.2140  3 Ho 3.51, 9 Dy 3.53-3.56
Dy: 0.3333 0.6667 0.4333  7 Dy 3.44-3.53, 3 Ho 3.46
Dy: 0.6667 0.3333 0.1008  3 Zr 3.30, 9 Dy 3.53-3.56
Dy: 0.3333 0.6667 0.7860  3 Ho 3.51, 9 Dy 3.53-3.56
Zr: 0.3333 0.6667 0.0000  6 Dy 3.30, 6 Zr 3.53
Ho: 0.6667 0.3333 0.6751  6 Dy 3.46-3.51, 6 Ho 3.53
Ho: 0.6667 0.3333 0.3249  6 Dy 3.46-3.51, 6 Ho 3.53

Values from the calculation:
Space-group type   No. 187
Size of the total moment   0.8 μB per formula unit
ρ   8.36 g/cm3
DFT total energy   -4.961 eV per atom
Calculated formation energy   0.074 eV/atom
N(E_F)   1.84 states/eV/atom

***

No. 4
# CsKUSe4

A relaxed structure of CsKUSe4 (PBE, the Alexandria database).

Cell lengths 7.7099, 7.7055, 9.5764 Å; angles 90.00, 113.74, 90.00 degrees
Last column: nearest neighbours and their distance in Å.
Element x y z (fractional)
Se: 0.5000 0.5000 0.5000  2 U 2.73
Se: 0.0979 0.7500 0.1957  1 U 2.62
Se: 0.6042 0.2500 0.2084  1 U 2.60
Se: 0.0000 0.0000 0.5000  2 U 2.73
Se: 0.3958 0.7500 0.7916  1 U 2.60
Se: 0.0000 0.5000 0.5000  2 U 2.73
Se: 0.5000 0.0000 0.5000  2 U 2.73
Se: 0.9021 0.2500 0.8043  1 U 2.62
Cs: 0.5997 0.7500 0.1994  9 Se 3.57-3.86
Cs: 0.4003 0.2500 0.8006  9 Se 3.57-3.86
U: 0.7527 0.2500 0.5054  6 Se 2.60-2.73
U: 0.2473 0.7500 0.4946  6 Se 2.60-2.73
K: 0.1107 0.2500 0.2214  9 Se 3.66-3.86
K: 0.8893 0.7500 0.7786  9 Se 3.66-3.86

Values from the calculation:
Space-group type   No. 63
Size of the total moment   0.1 μB per formula unit
ΔE_f (raw)   -112 kJ/mol of atoms
ρ   4.63 g/cm3
DFT total energy   -5.041 eV per atom
N(E_F)   0.06 states/eV/atom

***

No. 5
# CeCd2Hg2Pb

A relaxed structure of CeCd2Hg2Pb (PBE, the Alexandria database).

Cell lengths 5.1023, 5.1023, 6.8573 Å; angles 90.00, 90.00, 120.00 degrees
Last column: nearest neighbours and their distance in Å.
Element x y z (fractional)
Pb: 0.0000 0.0000 0.0000  6 Cd 3.35, 2 Ce 3.43, 6 Hg 3.55
Cd: 0.3333 0.6667 0.2330  4 Hg 2.97-3.29
Cd: 0.6667 0.3333 0.7670  4 Hg 2.97-3.29
Ce: 0.0000 0.0000 0.5000  6 Hg 3.29, 2 Pb 3.43, 6 Cd 3.47
Hg: 0.3333 0.6667 0.7122  4 Cd 2.97-3.29, 3 Ce 3.29
Hg: 0.6667 0.3333 0.2878  4 Cd 2.97-3.29, 3 Ce 3.29

Values from the calculation:
Space-group type   No. 164
Size of the total moment   0.8 μB per formula unit
ρ   10.45 g/cm3
DFT total energy   -2.241 eV per atom
Calculated formation energy   -0.228 eV/atom
N(E_F)   1.36 states/eV/atom

***

No. 6
# Mo

A relaxed structure of Mo (PBE, the Alexandria database).

Cell lengths 2.7805, 2.7805, 9.6228 Å; angles 90.00, 90.00, 120.00 degrees
Last column: nearest neighbours and their distance in Å.
Element x y z (fractional)
Mo: 0.0000 0.0000 0.0000  12 Mo 2.78-2.89
Mo: 0.3333 0.6667 0.2500  12 Mo 2.78-2.89
Mo: 0.6667 0.3333 0.7500  12 Mo 2.78-2.89
Mo: 0.0000 0.0000 0.5000  12 Mo 2.78-2.89

Values from the calculation:
Space-group type   No. 194
Size of the total moment   0.0 μB per formula unit
ΔE to the lowest computed polymorph   405 meV/atom
ρ   9.89 g/cm3
DFT total energy   -10.426 eV per atom
Calculated formation energy   0.405 eV/atom
N(E_F)   1.43 states/eV/atom

***

No. 7
# BaCd2Cu2

A relaxed structure of BaCd2Cu2 (PBE, the Alexandria database).

Cell lengths 4.9142, 4.9142, 6.1835 Å; angles 66.59, 66.59, 90.00 degrees
Last column: nearest neighbours and their distance in Å.
Element x y z (fractional)
Ba: 0.0000 0.0000 0.0000  8 Cu 3.55, 10 Cd 3.64-3.78
Cd: 0.6445 0.6445 0.7110  4 Cu 2.68, 1 Cd 2.96
Cd: 0.3555 0.3555 0.2890  4 Cu 2.68, 1 Cd 2.96
Cu: 0.7500 0.2500 0.5000  4 Cd 2.68
Cu: 0.2500 0.7500 0.5000  4 Cd 2.68

Values from the calculation:
Space-group type   No. 139
Size of the total moment   0.0 μB per formula unit
ΔE to the lowest computed polymorph   23 meV/atom
ρ   6.58 g/cm3
DFT total energy   -2.466 eV per atom
Calculated formation energy   -0.077 eV/atom
N(E_F)   0.50 states/eV/atom

***

No. 8
# CuTe2

A relaxed structure of CuTe2 (PBE, the Alexandria database).

Cell lengths 3.9298, 3.9298, 6.2365 Å; angles 90.00, 90.00, 120.00 degrees
Last column: nearest neighbours and their distance in Å.
Element x y z (fractional)
Cu: 0.3333 0.6667 0.5000  6 Te 2.71
Te: 0.0000 0.0000 0.7385  3 Cu 2.71, 1 Te 2.97
Te: 0.0000 0.0000 0.2615  3 Cu 2.71, 1 Te 2.97

Values from the calculation:
Space-group type   No. 187
Size of the total moment   0.0 μB per formula unit
ΔE_f (raw)   7 kJ/mol of atoms
ρ   6.35 g/cm3
DFT total energy   -3.387 eV per atom
N(E_F)   0.73 states/eV/atom

***

No. 9
# Tm2NiPt

A relaxed structure of Tm2NiPt (PBE, the Alexandria database).

Cell lengths 3.3862, 4.8131, 4.8131 Å; angles 90.00, 90.00, 90.00 degrees
Last column: nearest neighbours and their distance in Å.
Element x y z (fractional)
Pt: 0.5000 0.0000 0.0000  8 Tm 2.94
Tm: 0.0000 0.5000 0.0000  4 Ni 2.94, 4 Pt 2.94
Tm: 0.0000 0.0000 0.5000  4 Ni 2.94, 4 Pt 2.94
Ni: 0.5000 0.5000 0.5000  8 Tm 2.94

Values from the calculation:
Space-group type   No. 123
Size of the total moment   0.0 μB per formula unit
ρ   12.52 g/cm3
DFT total energy   -6.065 eV per atom
Calculated formation energy   -0.874 eV/atom
N(E_F)   0.59 states/eV/atom

***

No. 10
# Dy2GePd4Au2

A relaxed structure of Dy2GePd4Au2 (PBE, the Alexandria database).

Cell lengths 6.5308, 6.5308, 6.5308 Å; angles 82.95, 124.15, 124.15 degrees
Last column: nearest neighbours and their distance in Å.
Element x y z (fractional)
Pd: 0.0000 0.2745 0.7255  1 Ge 2.37
Pd: 0.5490 0.2745 0.2745  1 Ge 2.37
Pd: 0.4510 0.7255 0.7255  1 Ge 2.37
Pd: 0.0000 0.7255 0.2745  1 Ge 2.37
Ge: 0.0000 0.0000 0.0000  4 Pd 2.37
Dy: 0.0000 0.2876 0.2876  1 Ge 2.81, 4 Pd 2.85, 4 Au 3.08
Dy: 0.0000 0.7124 0.7124  1 Ge 2.81, 4 Pd 2.85, 4 Au 3.08
Au: 0.5000 0.2500 0.7500  4 Dy 3.08, 8 Pd 3.27
Au: 0.5000 0.7500 0.2500  4 Dy 3.08, 8 Pd 3.27

Values from the calculation:
Space-group type   No. 139
Size of the total moment   0.0 μB per formula unit
ρ   11.04 g/cm3
DFT total energy   -4.979 eV per atom
Calculated formation energy   -0.407 eV/atom
N(E_F)   0.66 states/eV/atom

***

No. 11
# ZrTc2AsO

A relaxed structure of ZrTc2AsO (PBE, the Alexandria database).

Cell lengths 5.1183, 3.9534, 5.1183 Å; angles 90.00, 90.00, 90.00 degrees
Last column: nearest neighbours and their distance in Å.
Element x y z (fractional)
Tc: 0.5000 0.0000 0.0000  2 Zr 2.56
Tc: 0.0000 0.0000 0.5000  2 Zr 2.56
O: 0.0000 0.5000 0.0000  2 Zr 1.98
As: 0.5000 0.5000 0.5000  8 Tc 3.23, 4 O 3.62
Zr: 0.0000 0.0000 0.0000  2 O 1.98

Values from the calculation:
Space-group type   No. 123
Size of the total moment   5.0 μB per formula unit
ΔE_f (raw)   71 kJ/mol of atoms
ρ   6.06 g/cm3
DFT total energy   -7.043 eV per atom
N(E_F)   0.74 states/eV/atom

***

No. 12
# Rb2NbReTe

A relaxed structure of Rb2NbReTe (PBE, the Alexandria database).

Cell lengths 6.9837, 6.9837, 5.3799 Å; angles 90.00, 90.00, 90.00 degrees
Last column: nearest neighbours and their distance in Å.
Element x y z (fractional)
Re: 0.5000 0.5000 0.5000  8 Rb 4.41
Rb: 0.5000 0.0000 0.0000  2 Te 3.49
Rb: 0.0000 0.5000 0.0000  2 Te 3.49
Te: 0.0000 0.0000 0.0000  2 Nb 2.69
Nb: 0.0000 0.0000 0.5000  2 Te 2.69

Values from the calculation:
Space-group type   No. 123
Size of the total moment   8.4 μB per formula unit
ΔE_f (raw)   159 kJ/mol of atoms
ρ   3.66 g/cm3
DFT total energy   -3.875 eV per atom
N(E_F)   1.15 states/eV/atom

***

What did the sixth record say?
# Mo

A relaxed structure of Mo (PBE, the Alexandria database).

Cell lengths 2.7805, 2.7805, 9.6228 Å; angles 90.00, 90.00, 120.00 degrees
Last column: nearest neighbours and their distance in Å.
Element x y z (fractional)
Mo: 0.0000 0.0000 0.0000  12 Mo 2.78-2.89
Mo: 0.3333 0.6667 0.2500  12 Mo 2.78-2.89
Mo: 0.6667 0.3333 0.7500  12 Mo 2.78-2.89
Mo: 0.0000 0.0000 0.5000  12 Mo 2.78-2.89

Values from the calculation:
Space-group type   No. 194
Size of the total moment   0.0 μB per formula unit
ΔE to the lowest computed polymorph   405 meV/atom
ρ   9.89 g/cm3
DFT total energy   -10.426 eV per atom
Calculated formation energy   0.405 eV/atom
N(E_F)   1.43 states/eV/atom

***

What is the DFT total energy in the eleventh record?
-7.043 eV per atom